w) ! MgSi2Sb PBE-GGA optimized geometry; values from VASP
&SYSTEM
  ibrav = 0, nat = 4, ntyp = 3
/
ATOMIC_SPECIES
Mg 24.30 Mg.upf
Si 28.09 Si.upf
Sb 121.76 Sb.upf
CELL_PARAMETERS angstrom
0.000 3.429 3.429
3.429 0.000 3.429
3.429 3.429 0.000
ATOMIC_POSITIONS angstrom
Mg 0.000 0.000 0.000
Si 3.429 3.429 3.429
Si 5.143 5.143 5.143
Sb 1.714 1.714 1.714
! Symmetry: No. 216

x) ! MgSi2Sb PBE-GGA optimized geometry; values from VASP
&SYSTEM
  ibrav = 0, nat = 4, ntyp = 3
/
ATOMIC_SPECIES
Mg 24.30 Mg.upf
Si 28.09 Si.upf
Sb 121.76 Sb.upf
CELL_PARAMETERS angstrom
1.888 1.090 6.918
-1.888 1.090 6.918
0.000 -2.180 6.918
ATOMIC_POSITIONS angstrom
Mg 0.000 0.000 0.000
Si 0.000 0.000 9.766
Si 0.000 0.000 15.652
Sb 0.000 0.000 4.736
! Symmetry: No. 160

What are the relative energies? In meV/atom: w) 280; x) 0.

w) ! MgSi2Sb PBE-GGA optimized geometry; values from VASP
&SYSTEM
  ibrav = 0, nat = 4, ntyp = 3
/
ATOMIC_SPECIES
Mg 24.30 Mg.upf
Si 28.09 Si.upf
Sb 121.76 Sb.upf
CELL_PARAMETERS angstrom
-1.876 2.157 4.910
1.876 -2.157 4.910
1.876 2.157 -4.910
ATOMIC_POSITIONS angstrom
Mg 0.000 0.000 0.000
Si 1.876 0.000 2.582
Si 0.000 2.157 2.327
Sb 0.000 0.000 4.910
! Symmetry: No. 71

x) ! MgSi2Sb PBE-GGA optimized geometry; values from VASP
&SYSTEM
  ibrav = 0, nat = 4, ntyp = 3
/
ATOMIC_SPECIES
Mg 24.30 Mg.upf
Si 28.09 Si.upf
Sb 121.76 Sb.upf
CELL_PARAMETERS angstrom
3.282 0.000 0.000
0.000 3.282 0.000
0.000 0.000 7.518
ATOMIC_POSITIONS angstrom
Mg 0.000 0.000 0.000
Si 0.000 0.000 4.650
Si 1.641 1.641 5.612
Sb 1.641 1.641 2.238
! Symmetry: No. 99

y) ! MgSi2Sb PBE-GGA optimized geometry; values from VASP
&SYSTEM
  ibrav = 0, nat = 4, ntyp = 3
/
ATOMIC_SPECIES
Mg 24.30 Mg.upf
Si 28.09 Si.upf
Sb 121.76 Sb.upf
CELL_PARAMETERS angstrom
4.109 0.000 0.000
0.000 3.718 0.000
-1.993 0.000 5.427
ATOMIC_POSITIONS angstrom
Mg 0.000 0.000 0.000
Si 1.964 1.859 0.854
Si 2.328 0.000 2.378
Sb 0.235 1.859 3.577
! Symmetry: No. 6

What are the relative energies? In meV/atom: w) 120; x) 12; y) 0.

w) ! MgSi2Sb PBE-GGA optimized geometry; values from VASP
&SYSTEM
  ibrav = 0, nat = 4, ntyp = 3
/
ATOMIC_SPECIES
Mg 24.30 Mg.upf
Si 28.09 Si.upf
Sb 121.76 Sb.upf
CELL_PARAMETERS angstrom
3.631 0.000 0.000
0.000 3.711 0.000
0.000 0.000 5.945
ATOMIC_POSITIONS angstrom
Mg 0.000 0.000 0.000
Si 1.816 1.856 1.235
Si 1.816 1.856 4.710
Sb 0.000 0.000 2.972
! Symmetry: No. 47

x) ! MgSi2Sb PBE-GGA optimized geometry; values from VASP
&SYSTEM
  ibrav = 0, nat = 4, ntyp = 3
/
ATOMIC_SPECIES
Mg 24.30 Mg.upf
Si 28.09 Si.upf
Sb 121.76 Sb.upf
CELL_PARAMETERS angstrom
5.114 -1.787 0.000
5.114 1.787 0.000
-1.881 0.000 4.376
ATOMIC_POSITIONS angstrom
Mg 0.000 0.000 0.000
Si 3.632 0.000 2.088
Si 7.484 0.000 0.962
Sb 0.853 0.000 2.928
! Symmetry: No. 8

What are the relative energies? In meV/atom: w) 99; x) 0.

w) ! MgSi2Sb2 PBE-GGA optimized geometry; values from VASP
&SYSTEM
  ibrav = 0, nat = 5, ntyp = 3
/
ATOMIC_SPECIES
Mg 24.30 Mg.upf
Si 28.09 Si.upf
Sb 121.76 Sb.upf
CELL_PARAMETERS angstrom
-1.738 1.738 9.164
1.738 -1.738 9.164
1.738 1.738 -9.164
ATOMIC_POSITIONS angstrom
Mg 0.000 0.000 0.000
Si 1.738 0.000 4.582
Si 0.000 1.738 4.582
Sb 0.000 0.000 7.182
Sb 0.000 0.000 11.146
! Symmetry: No. 139

x) ! MgSi2Sb2 PBE-GGA optimized geometry; values from VASP
&SYSTEM
  ibrav = 0, nat = 10, ntyp = 3
/
ATOMIC_SPECIES
Mg 24.30 Mg.upf
Si 28.09 Si.upf
Sb 121.76 Sb.upf
CELL_PARAMETERS angstrom
7.426 0.000 0.000
0.000 7.426 0.000
0.000 0.000 3.950
ATOMIC_POSITIONS angstrom
Mg 0.000 0.000 0.000
Mg 3.713 3.713 0.000
Si 0.876 2.837 0.000
Si 2.837 6.549 0.000
Si 4.589 0.876 0.000
Si 6.549 4.589 0.000
Sb 1.392 5.104 1.975
Sb 2.321 1.392 1.975
Sb 5.104 6.034 1.975
Sb 6.034 2.321 1.975
! Symmetry: No. 127

What are the relative energies? In meV/atom: w) 0; x) 84.

w) ! Mg3SiSb PBE-GGA optimized geometry; values from VASP
&SYSTEM
  ibrav = 0, nat = 5, ntyp = 3
/
ATOMIC_SPECIES
Mg 24.30 Mg.upf
Si 28.09 Si.upf
Sb 121.76 Sb.upf
CELL_PARAMETERS angstrom
5.285 0.000 0.000
0.000 5.285 0.000
0.000 0.000 5.285
ATOMIC_POSITIONS angstrom
Mg 0.000 0.000 2.642
Mg 0.000 2.642 0.000
Mg 2.642 0.000 0.000
Si 2.642 2.642 2.642
Sb 0.000 0.000 0.000
! Symmetry: No. 221

x) ! Mg3SiSb PBE-GGA optimized geometry; values from VASP
&SYSTEM
  ibrav = 0, nat = 5, ntyp = 3
/
ATOMIC_SPECIES
Mg 24.30 Mg.upf
Si 28.09 Si.upf
Sb 121.76 Sb.upf
CELL_PARAMETERS angstrom
5.009 0.000 0.000
0.000 5.009 0.000
0.000 0.000 5.009
ATOMIC_POSITIONS angstrom
Mg 0.000 0.000 2.504
Mg 0.000 2.504 0.000
Mg 2.504 0.000 0.000
Si 0.000 0.000 0.000
Sb 2.504 2.504 2.504
! Symmetry: No. 221

What are the relative energies? In meV/atom: w) 529; x) 0.

w) ! Mg14SiSb PBE-GGA optimized geometry; values from VASP
&SYSTEM
  ibrav = 0, nat = 16, ntyp = 3
/
ATOMIC_SPECIES
Mg 24.30 Mg.upf
Si 28.09 Si.upf
Sb 121.76 Sb.upf
CELL_PARAMETERS angstrom
6.402 0.000 0.000
-3.201 5.545 0.000
0.000 0.000 9.972
ATOMIC_POSITIONS angstrom
Mg 0.000 0.000 2.483
Mg 0.000 0.000 7.489
Mg 1.577 0.911 4.986
Mg 1.611 0.930 0.000
Mg 3.201 0.004 2.588
Mg 3.201 0.004 7.384
Mg 1.604 2.770 2.588
Mg 1.604 2.770 7.384
Mg 4.791 0.930 0.000
Mg 3.201 3.684 0.000
Mg 4.825 0.911 4.986
Mg 3.201 3.724 4.986
Mg 4.798 2.770 2.588
Mg 4.798 2.770 7.384
Si 0.000 3.696 4.986
Sb 0.000 3.696 0.000
! Symmetry: No. 187

x) ! Mg14SiSb PBE-GGA optimized geometry; values from VASP
&SYSTEM
  ibrav = 0, nat = 16, ntyp = 3
/
ATOMIC_SPECIES
Mg 24.30 Mg.upf
Si 28.09 Si.upf
Sb 121.76 Sb.upf
CELL_PARAMETERS angstrom
10.047 0.000 0.000
0.000 3.355 5.338
0.000 -3.355 5.338
ATOMIC_POSITIONS angstrom
Mg 0.000 0.000 0.000
Mg 0.000 -1.691 7.974
Mg 0.000 0.000 5.322
Mg 0.000 1.691 7.974
Mg 2.478 0.000 8.747
Mg 2.560 0.000 3.398
Mg 2.633 -1.597 6.054
Mg 2.633 1.597 6.054
Mg 5.024 -1.669 7.997
Mg 5.024 1.669 7.997
Mg 7.414 -1.597 6.054
Mg 7.414 1.597 6.054
Mg 7.488 0.000 3.398
Mg 7.570 0.000 8.747
Si 5.024 0.000 5.122
Sb 5.024 0.000 10.588
! Symmetry: No. 38

What are the relative energies? In meV/atom: w) 0; x) 12.